A plane-wave DFT calculation with PBE+U was carried out for crystalline YMoOF2 at its relaxed geometry.

Properties
Its crystal system is tetragonal. For the raw total energy, the calculation gives -0.4927 Ry/atom.

Lattice parameters (Å, degrees): 4.4312 4.4312 4.4279 90.00 90.00 90.00
Closest atoms and distances in Å follow each position.
Positions (direct):
Y1 0.0000 0.0000 0.0000  2 O 2.21, 4 F 2.22
Mo1 0.5000 0.5000 0.5000  8 F 3.13, 4 O 3.13
O1 0.0000 0.0000 0.5000  2 Y 2.21
F1 0.0000 0.5000 0.0000  2 Y 2.22
F2 0.5000 0.0000 0.0000  2 Y 2.22